# ScInCu2, optimized geometry, DFT PBE-GGA
# Formation energy from the elements = -141 meV per atom
data_ScInCu2
_cell_length_a 6.468
_cell_length_b 6.468
_cell_length_c 6.468
_cell_angle_alpha 90.00
_cell_angle_beta 90.00
_cell_angle_gamma 90.00
_space_group_name_H-M_alt 'F -4 3 m'
_space_group_IT_number 216
_space_group_name_Hall 'F -4 2 3'
loop_
_atom_site_label
_atom_site_fract_x
_atom_site_fract_y
_atom_site_fract_z
_atom_site_occupancy
Sc1 0.000 0.000 0.000 1
In1 0.250 0.250 0.250 1
Cu1 0.000 0.000 0.500 1
Cu2 0.250 0.250 0.750 1